# HfCrRu2Pb PBE optimized geometry
data_HfCrRu2Pb
_chemical_formula_sum 'Hf1 Cr1 Ru2 Pb1'
_space_group_name_H-M_alt 'P 4/m m m'
_space_group_IT_number 123
_space_group_name_Hall '-P 4 2'
_cell_length_a 4.4988
_cell_length_b 4.4988
_cell_length_c 4.8223
_cell_angle_alpha 90.00
_cell_angle_beta 90.00
_cell_angle_gamma 90.00
loop_
_atom_site_label
_atom_site_type_symbol
_atom_site_fract_x
_atom_site_fract_y
_atom_site_fract_z
Hf1 Hf 0.0000 0.0000 0.0000
Cr1 Cr 0.0000 0.0000 0.5000
Ru1 Ru 0.0000 0.5000 0.5000
Pb1 Pb 0.5000 0.5000 0.0000
# crystal system: tetragonal
# N(E_F): 0.8091 states/eV/atom
# E_tot: -7.64 eV per atom
# magnetization: 0.0 μB per formula unit
# energy of formation: 0.726 eV per atom